A plane-wave DFT calculation with PBE was carried out for an optimized crystal structure of Tb3Ga7Au2.

Cell: 4.234 4.254 13.743 Å, 98.85 90.00 90.00°
Positions (direct):
1 Tb 0.500 0.500 0.000
2 Tb 0.000 0.184 0.369
3 Tb 0.000 0.816 0.631
4 Ga 0.500 0.728 0.455
5 Ga 0.500 0.272 0.545
6 Ga 0.000 0.582 0.159
7 Ga 0.000 0.000 0.000
8 Ga 0.000 0.418 0.841
9 Ga 0.500 0.920 0.840
10 Ga 0.500 0.080 0.160
11 Au 0.500 0.634 0.271
12 Au 0.500 0.366 0.729

Values from the calculation:
- N(E_F) (states/eV per atom) = 0.405
- energy (eV/atom) = -4.0554